[1]
The following is a DFT calculation (PBE) of a relaxed structure of CaCoNi2.

Cell: 8.695 8.695 8.695 Å, 18.36 18.36 18.36°
Sites, in units of the cell vectors:
Ni 0.009 0.009 0.009
Ni 0.491 0.491 0.491
Co 0.750 0.750 0.750
Ca 0.250 0.250 0.250

Values from the calculation:
* offset from the most stable computed form: 592 meV per atom
* total moment: 1.95 μB/f.u.
* DFT total energy: -0.1688 Ha/atom
* DOS at the Fermi energy: 5.24 states/eV/cell
* SG: R-3m, No. 166
* calculated volume: 57.0 Å³/cell

***

[2]
The following is a DFT calculation (PBE) of a relaxed structure of CaCoNi3.

Cell: 4.388 4.388 4.388 Å, 90.00 90.00 90.00°
Sites, in units of the cell vectors:
Ni 0.000 0.500 0.000
Ni 0.000 0.000 0.500
Ni 0.500 0.000 0.000
Co 0.000 0.000 0.000
Ca 0.500 0.500 0.500

Values from the calculation:
* offset from the most stable computed form: 0 meV per atom
* total moment: 3.49 μB/f.u.
* DFT total energy: -0.1793 Ha/atom
* DOS at the Fermi energy: 4.99 states/eV/cell
* SG: Pm-3m, No. 221
* calculated volume: 84.5 Å³/cell

***

[3]
The following is a DFT calculation (PBE) of a relaxed structure of CaCoNi2.

Cell: 4.012 2.766 5.593 Å, 76.50 90.00 90.00°
Sites, in units of the cell vectors:
Ni 0.500 0.089 0.212
Ni 0.000 0.187 0.967
Ca 0.000 0.465 0.473
Co 0.500 0.759 0.848

Values from the calculation:
* offset from the most stable computed form: 271 meV per atom
* total moment: 2.22 μB/f.u.
* DFT total energy: -0.1806 Ha/atom
* DOS at the Fermi energy: 4.41 states/eV/cell
* SG: Pm, No. 6
* calculated volume: 60.3 Å³/cell

***

[4]
The following is a DFT calculation (PBE) of a relaxed structure of CaCo3Ni.

Cell: 4.411 4.411 4.411 Å, 90.00 90.00 90.00°
Sites, in units of the cell vectors:
Ni 0.000 0.000 0.000
Co 0.500 0.000 0.000
Co 0.000 0.000 0.500
Co 0.000 0.500 0.000
Ca 0.500 0.500 0.500

Values from the calculation:
* offset from the most stable computed form: 0 meV per atom
* total moment: 5.87 μB/f.u.
* DFT total energy: -0.1903 Ha/atom
* DOS at the Fermi energy: 5.47 states/eV/cell
* SG: Pm-3m, No. 221
* calculated volume: 85.8 Å³/cell